# Ac6HgTe3Se2, optimized geometry, DFT PBE
# ΔE_f (raw): -1447 meV/atom
# Calculated total energy: -4.89 eV/atom
# Volume: 429.9 Å³ per cell
data_Ac6HgTe3Se2
_chemical_formula_sum 'Ac6 Hg1 Te3 Se2'
_cell_length_a 8.005
_cell_length_b 8.005
_cell_length_c 8.175
_cell_angle_alpha 99.35
_cell_angle_beta 99.35
_cell_angle_gamma 119.84
_symmetry_space_group_name_H-M 'P 1'
_symmetry_Int_Tables_number 1
_symmetry_space_group_name_Hall 'P 1'
loop_
_atom_site_label
_atom_site_type_symbol
_atom_site_fract_x
_atom_site_fract_y
_atom_site_fract_z
Ac1 Ac 0.087 0.423 0.767
Ac2 Ac 0.242 0.242 0.232
Ac3 Ac 0.423 0.087 0.767
Ac4 Ac 0.577 0.913 0.233
Ac5 Ac 0.758 0.758 0.768
Ac6 Ac 0.913 0.577 0.233
Hg1 Hg 0.500 0.500 0.000
Te1 Te 0.000 0.000 0.500
Te2 Te 0.333 0.667 0.500
Te3 Te 0.667 0.333 0.500
Se1 Se 0.166 0.834 0.000
Se2 Se 0.834 0.166 0.000